This record from Alexandria via LeMat-Bulk describes a relaxed structure of TeMoSe2. The functional is GGA-PBE.

Properties
* formation energy from raw total energies: 0.061 eV per atom
* D(E_F): 3.38 states/eV per cell
* DFT total energy: -5.17 eV/atom
* crystal system: tetragonal

abc: 3.1073 3.1073 9.5789
angles: 90.00 90.00 90.00
With the nearest neighbours (Å) after each atom.
Space group P4mm (No. 99)
Unique sites:
Te (0.0000, 0.0000, 0.0000) x1  4 Mo 2.86, 4 Te 3.11
Mo (0.5000, 0.5000, 0.1918) x1  4 Se 2.65, 4 Te 2.86
Se (0.0000, 0.0000, 0.3469) x1  4 Mo 2.65
Se (0.5000, 0.5000, 0.6741) x1  4 Se 3.11